Here is a relaxed TlAg2Br8 crystal from Alexandria. Energies are from GGA-PBE.

a = 10.893 Å, b = 11.676 Å, c = 7.255 Å
α = 90.00°, β = 115.61°, γ = 90.00°
Space group C2/m (No. 12)
Symmetry-distinct sites (fractional):
Tl: 0.000 0.000 0.000
Ag: 0.154 0.000 0.603
Br: 0.057 0.500 0.184
Br: 0.082 0.162 0.802
Br: 0.228 0.500 0.644

Fermi-level density of states ... 1.07 states/eV/atom
Raw formation energy ... -2.443 eV per formula unit
Total DFT energy (no corrections) ... -47.79 eV/cell
Calculated volume ... 832.13 Å³ per cell